#i
The following is a DFT calculation (PBE) of an optimized crystal structure of Tc3BiB.

* D(E_F): 2.82 states/eV/cell
* total moment: 2.107 μB/f.u.
* density: 11.2 g/cm³

a = 4.245 Å, b = 4.245 Å, c = 4.245 Å
α = 90.00°, β = 90.00°, γ = 90.00°
Site moments in Bohr magnetons follow the coordinates.
Atoms (fractional coordinates):
1 B 0.000 0.000 0.000  -0.05
2 Bi 0.500 0.500 0.500  -0.03
3 Tc 0.000 0.500 0.000  0.67
4 Tc 0.000 0.000 0.500  0.81
5 Tc 0.500 0.000 0.000  0.53

#ii
The following is a DFT calculation (PBE) of an optimized crystal structure of Tc3BiB.

* D(E_F): 7.41 states/eV/cell
* total moment: 6.998 μB/f.u.
* density: 6.4 g/cm³

a = 5.098 Å, b = 5.098 Å, c = 5.098 Å
α = 90.00°, β = 90.00°, γ = 90.00°
Site moments in Bohr magnetons follow the coordinates.
Atoms (fractional coordinates):
1 B 0.500 0.500 0.500  -0.08
2 Bi 0.000 0.000 0.000  -0.09
3 Tc 0.000 0.500 0.000  2.16
4 Tc 0.000 0.000 0.500  2.48
5 Tc 0.500 0.000 0.000  1.92

Most favorable first, least favorable last: #i, #ii